Below is a crystal of ScSbTe2O relaxed with PBEsol, with properties calculated at the SCAN level.

* ΔE_f (raw): -324 meV/atom
* E: -26.771 eV per atom
* total magnetic moment: 0.000 Bohr magnetons per cell

Unit cell a=4.834 b=4.834 c=4.611 alpha=90.00 beta=90.00 gamma=90.00
Element x y z (fractional)
Sc  0.000  0.000  0.000
Sb  0.500  0.500  0.000
Te  0.000  0.500  0.500
Te  0.500  0.000  0.500
O  0.500  0.500  0.500



Below is a crystal of Sb2SeO relaxed with PBEsol, with properties calculated at the SCAN level.

* energy above the most stable polymorph in this dataset: 0.000 eV/atom
* ΔE_f (raw): -194 meV/atom
* E: -25.402 eV per atom
* total magnetic moment: 0.000 Bohr magnetons per cell

Unit cell a=8.127 b=8.127 c=8.127 alpha=143.53 beta=143.53 gamma=52.53
Element x y z (fractional)
Sb  0.018  0.625  0.893
Sb  0.375  0.268  0.393
Sb  0.732  0.125  0.107
Sb  0.875  0.982  0.607
Se  0.250  0.750  0.500
Se  0.500  0.500  0.000
O  0.000  0.000  0.000
O  0.750  0.250  0.500



Below is a crystal of Sb2SeO relaxed with PBEsol, with properties calculated at the SCAN level.

* energy above the most stable polymorph in this dataset: 0.468 eV/atom
* ΔE_f (raw): 274 meV/atom
* E: -24.933 eV per atom
* total magnetic moment: 0.000 Bohr magnetons per cell

Unit cell a=4.732 b=4.732 c=4.732 alpha=60.00 beta=60.00 gamma=60.00
Element x y z (fractional)
Sb  0.250  0.250  0.250
Sb  0.750  0.750  0.750
Se  0.000  0.000  0.000
O  0.500  0.500  0.500



Below is a crystal of SbSeO5 relaxed with PBEsol, with properties calculated at the SCAN level.

* ΔE_f (raw): -857 meV/atom
* E: -13.500 eV per atom
* total magnetic moment: 0.000 Bohr magnetons per cell

Unit cell a=5.202 b=9.448 c=9.670 alpha=90.00 beta=90.00 gamma=90.00
Element x y z (fractional)
Sb  0.125  0.155  0.407
Sb  0.375  0.845  0.907
Sb  0.625  0.345  0.593
Sb  0.875  0.655  0.093
Se  0.118  0.534  0.785
Se  0.382  0.466  0.285
Se  0.618  0.966  0.215
Se  0.882  0.034  0.715
O  0.045  0.509  0.956
O  0.112  0.809  0.047
O  0.136  0.014  0.822
O  0.143  0.582  0.253
O  0.205  0.708  0.761
O  0.295  0.292  0.261
O  0.357  0.418  0.753
O  0.364  0.986  0.322
O  0.388  0.191  0.547
O  0.455  0.491  0.456
O  0.545  0.991  0.044
O  0.612  0.691  0.953
O  0.636  0.486  0.178
O  0.643  0.918  0.747
O  0.705  0.792  0.239
O  0.795  0.208  0.739
O  0.857  0.082  0.247
O  0.864  0.514  0.678
O  0.888  0.309  0.453
O  0.955  0.009  0.544



Below is a crystal of VSbSe4O12 relaxed with PBEsol, with properties calculated at the SCAN level.

* ΔE_f (raw): -1225 meV/atom
* E: -12.883 eV per atom
* total magnetic moment: 4.000 Bohr magnetons per cell

Unit cell a=8.013 b=8.204 c=7.996 alpha=90.00 beta=90.19 gamma=90.00
Element x y z (fractional)
V  0.000  0.000  0.000
V  0.000  0.500  0.500
Sb  0.500  0.000  0.500
Sb  0.500  0.500  0.000
Se  0.164  0.171  0.686
Se  0.164  0.329  0.186
Se  0.318  0.678  0.660
Se  0.318  0.822  0.160
Se  0.682  0.178  0.840
Se  0.682  0.322  0.340
Se  0.836  0.671  0.814
Se  0.836  0.829  0.314
O  0.006  0.050  0.757
O  0.006  0.450  0.257
O  0.064  0.228  0.028
O  0.064  0.272  0.528
O  0.237  0.566  0.501
O  0.237  0.934  0.001
O  0.259  0.016  0.559
O  0.259  0.484  0.059
O  0.438  0.525  0.756
O  0.438  0.975  0.256
O  0.486  0.740  0.042
O  0.486  0.760  0.542
O  0.514  0.240  0.458
O  0.514  0.260  0.958
O  0.562  0.025  0.744
O  0.562  0.475  0.244
O  0.741  0.516  0.941
O  0.741  0.984  0.441
O  0.763  0.066  0.999
O  0.763  0.434  0.499
O  0.936  0.728  0.472
O  0.936  0.772  0.972
O  0.994  0.550  0.743
O  0.994  0.950  0.243



Below is a crystal of Si2SbO relaxed with PBEsol, with properties calculated at the SCAN level.

* ΔE_f (raw): -67 meV/atom
* E: -15.947 eV per atom
* total magnetic moment: 0.000 Bohr magnetons per cell

Unit cell a=7.085 b=7.085 c=7.085 alpha=141.21 beta=141.21 gamma=56.02
Element x y z (fractional)
Si  0.375  0.224  0.349
Si  0.776  0.125  0.151
Si  0.875  0.026  0.651
Si  0.974  0.625  0.849
Sb  0.250  0.750  0.500
Sb  0.500  0.500  0.000
O  0.000  0.000  0.000
O  0.750  0.250  0.500



Below is a crystal of Si3Sb2O9 relaxed with PBEsol, with properties calculated at the SCAN level.

* ΔE_f (raw): -2454 meV/atom
* E: -13.929 eV per atom
* total magnetic moment: 0.000 Bohr magnetons per cell

Unit cell a=6.848 b=6.848 c=9.311 alpha=90.00 beta=90.00 gamma=120.00
Element x y z (fractional)
Si  0.072  0.791  0.250
Si  0.209  0.281  0.250
Si  0.281  0.072  0.750
Si  0.719  0.928  0.250
Si  0.791  0.719  0.750
Si  0.928  0.209  0.750
Sb  0.333  0.667  0.518
Sb  0.333  0.667  0.982
Sb  0.667  0.333  0.018
Sb  0.667  0.333  0.482
O  0.063  0.814  0.750
O  0.093  0.671  0.105
O  0.093  0.671  0.395
O  0.186  0.249  0.750
O  0.249  0.063  0.250
O  0.329  0.422  0.105
O  0.329  0.422  0.395
O  0.422  0.093  0.605
O  0.422  0.093  0.895
O  0.578  0.907  0.105
O  0.578  0.907  0.395
O  0.671  0.578  0.605
O  0.671  0.578  0.895
O  0.751  0.937  0.750
O  0.814  0.751  0.250
O  0.907  0.329  0.605
O  0.907  0.329  0.895
O  0.937  0.186  0.250



Below is a crystal of Si3SbO relaxed with PBEsol, with properties calculated at the SCAN level.

* energy above the most stable polymorph in this dataset: 0.000 eV/atom
* ΔE_f (raw): 415 meV/atom
* E: -14.293 eV per atom
* total magnetic moment: 0.000 Bohr magnetons per cell

Unit cell a=4.330 b=4.330 c=4.330 alpha=90.00 beta=90.00 gamma=90.00
Element x y z (fractional)
Si  0.000  0.000  0.500
Si  0.000  0.500  0.000
Si  0.500  0.000  0.000
Sb  0.500  0.500  0.500
O  0.000  0.000  0.000



Below is a crystal of SiSb3O relaxed with PBEsol, with properties calculated at the SCAN level.

* ΔE_f (raw): 360 meV/atom
* E: -25.246 eV per atom
* total magnetic moment: 0.000 Bohr magnetons per cell

Unit cell a=4.701 b=4.701 c=4.701 alpha=90.00 beta=90.00 gamma=90.00
Element x y z (fractional)
Si  0.000  0.000  0.000
Sb  0.000  0.500  0.500
Sb  0.500  0.000  0.500
Sb  0.500  0.500  0.000
O  0.500  0.500  0.500



Below is a crystal of Si3SbO relaxed with PBEsol, with properties calculated at the SCAN level.

* energy above the most stable polymorph in this dataset: 1.552 eV/atom
* ΔE_f (raw): 1967 meV/atom
* E: -12.741 eV per atom
* total magnetic moment: 1.544 Bohr magnetons per cell

Unit cell a=5.114 b=5.114 c=5.114 alpha=90.00 beta=90.00 gamma=90.00
Element x y z (fractional)
Si  0.000  0.000  0.500
Si  0.000  0.500  0.000
Si  0.500  0.000  0.000
Sb  0.000  0.000  0.000
O  0.500  0.500  0.500



Below is a crystal of Sm9Sb5O5 relaxed with PBEsol, with properties calculated at the SCAN level.

* ΔE_f (raw): -2371 meV/atom
* E: -34.868 eV per atom
* total magnetic moment: 0.000 Bohr magnetons per cell

Unit cell a=9.972 b=9.972 c=8.970 alpha=90.00 beta=90.00 gamma=90.00
Element x y z (fractional)
Sm  0.024  0.332  0.001
Sm  0.045  0.854  0.656
Sm  0.146  0.545  0.344
Sm  0.168  0.024  0.001
Sm  0.250  0.250  0.669
Sm  0.332  0.476  0.001
Sm  0.354  0.955  0.344
Sm  0.455  0.646  0.656
Sm  0.476  0.168  0.001
Sm  0.524  0.832  0.999
Sm  0.545  0.354  0.344
Sm  0.646  0.045  0.656
Sm  0.668  0.524  0.999
Sm  0.750  0.750  0.331
Sm  0.832  0.976  0.999
Sm  0.854  0.455  0.656
Sm  0.955  0.146  0.344
Sm  0.976  0.668  0.999
Sb  0.054  0.847  0.300
Sb  0.153  0.554  0.700
Sb  0.250  0.250  0.314
Sb  0.347  0.946  0.700
Sb  0.446  0.653  0.300
Sb  0.554  0.347  0.700
Sb  0.653  0.054  0.300
Sb  0.750  0.750  0.686
Sb  0.847  0.446  0.300
Sb  0.946  0.153  0.700
O  0.025  0.871  0.911
O  0.129  0.525  0.089
O  0.250  0.250  0.934
O  0.371  0.975  0.089
O  0.475  0.629  0.911
O  0.525  0.371  0.089
O  0.629  0.025  0.911
O  0.750  0.750  0.066
O  0.871  0.475  0.911
O  0.975  0.129  0.089



Below is a crystal of Sr2SmSbO6 relaxed with PBEsol, with properties calculated at the SCAN level.

* ΔE_f (raw): -2908 meV/atom
* E: -19.272 eV per atom
* total magnetic moment: 0.000 Bohr magnetons per cell

Unit cell a=5.836 b=5.942 c=10.124 alpha=90.00 beta=124.85 gamma=90.00
Element x y z (fractional)
Sr  0.239  0.041  0.250
Sr  0.239  0.459  0.750
Sr  0.761  0.541  0.250
Sr  0.761  0.959  0.750
Sm  0.500  0.000  0.000
Sm  0.500  0.500  0.500
Sb  0.000  0.000  0.500
Sb  0.000  0.500  0.000
O  0.141  0.226  0.951
O  0.141  0.274  0.451
O  0.229  0.694  0.956
O  0.229  0.806  0.456
O  0.320  0.029  0.732
O  0.320  0.471  0.232
O  0.680  0.529  0.768
O  0.680  0.971  0.268
O  0.771  0.194  0.544
O  0.771  0.306  0.044
O  0.859  0.726  0.549
O  0.859  0.774  0.049